Record 1
# ScCo6Re

A relaxed ScCo6Re crystal (PBE, the Alexandria database).

Its crystal system is orthorhombic.

It has space group Cmmm (No. 65), with a = 7.2329 Å, b = 10.2210 Å, c = 10.2743 Å, α = 90.00°, β = 90.00° and γ = 90.00°. The inequivalent atoms are Sc at (0.0000, 0.0000, 0.2479), Sc at (0.0000, 0.2478, 0.0000), Co at (0.0000, 0.0000, 0.0000), Co at (0.0000, 0.0000, 0.5000), Co at (0.0000, 0.2557, 0.2592), Co at (0.0000, 0.5000, 0.0000), Co at (0.0000, 0.5000, 0.5000), Co at (0.2411, 0.3768, 0.1306), Co at (0.2427, 0.3725, 0.3805), Re at (0.0000, 0.2450, 0.5000) and Re at (0.0000, 0.5000, 0.2447).



Record 2
# Sc3CoRe

A relaxed Sc3CoRe crystal (PBE, the Alexandria database).

Its crystal system is cubic. The calculation puts the energy above the most stable polymorph in this dataset at 245.7 meV per atom.

It has space group Pm-3m (No. 221), with a = 4.9905 Å, b = 4.9905 Å, c = 4.9905 Å, α = 90.00°, β = 90.00° and γ = 90.00°. The inequivalent atoms are Sc at (0.0000, 0.0000, 0.5000), Co at (0.5000, 0.5000, 0.5000) and Re at (0.0000, 0.0000, 0.0000).



Record 3
# ScCo4Re

A relaxed ScCo4Re crystal (PBE, the Alexandria database).

Its crystal system is cubic.

It has space group F-43m (No. 216), with a = 6.7556 Å, b = 6.7556 Å, c = 6.7556 Å, α = 90.00°, β = 90.00° and γ = 90.00°. The inequivalent atoms are Sc at (0.0000, 0.0000, 0.0000), Co at (0.1246, 0.1246, 0.6246) and Re at (0.2500, 0.2500, 0.2500).



Record 4
# ScCoRe

A relaxed ScCoRe crystal (PBE, the Alexandria database).

Its crystal system is cubic. The calculation puts the energy above the most stable polymorph in this dataset at 1563.5 meV per atom.

It has space group F-43m (No. 216), with a = 6.0174 Å, b = 6.0174 Å, c = 6.0174 Å, α = 90.00°, β = 90.00° and γ = 90.00°. The inequivalent atoms are Sc at (0.0000, 0.0000, 0.0000), Co at (0.2500, 0.2500, 0.2500) and Re at (0.2500, 0.2500, 0.7500).



Sequential energy of formation from the pure elements output: -0.0592 0.7178 -0.0384 1.2827 eV/atom